No. 1
Sm8CuRh2 | GGA-PBE | optimized geometry

## Properties
energy of formation = -2.51 eV per formula unit
N(E_F) = 11.40 states/eV/f.u.

abc: 8.456 12.560 6.280
angles: 90.00 108.07 90.00
Space group Cm (No. 8)
Asymmetric unit:
1 Sm 0.000 0.000 0.000 (multiplicity 2)
2 Sm 0.067 0.367 0.800 (multiplicity 4)
3 Sm 0.145 0.135 0.568 (multiplicity 4)
4 Sm 0.219 0.500 0.383 (multiplicity 2)
5 Sm 0.350 0.214 0.188 (multiplicity 4)
6 Cu 0.361 0.000 0.387 (multiplicity 2)
7 Rh 0.358 0.315 0.692 (multiplicity 4)

---

No. 2
Sm12Cu3Rh5 | GGA-PBE | optimized geometry

## Properties
energy of formation = -1.94 eV per formula unit
N(E_F) = 17.75 states/eV/f.u.

abc: 16.850 16.850 16.850
angles: 90.00 90.00 90.00
Space group Ia-3d (No. 230)
Asymmetric unit:
1 Sm 0.025 0.065 0.650 (multiplicity 96)
2 Cu 0.000 0.250 0.125 (multiplicity 24)
3 Rh 0.000 0.000 0.000 (multiplicity 16)
4 Rh 0.000 0.250 0.375 (multiplicity 24)

---

No. 3
Sm2Cu2Rh | GGA-PBE | optimized geometry

## Properties
energy of formation = -1.98 eV per formula unit
energy above the lowest structure with this stoichiometry = 0.0 meV per atom
N(E_F) = 2.94 states/eV/f.u.

abc: 10.242 4.083 11.034
angles: 90.00 114.48 90.00
Space group C2/m (No. 12)
Asymmetric unit:
1 Sm 0.025 0.000 0.345 (multiplicity 4)
2 Sm 0.198 0.000 0.122 (multiplicity 4)
3 Cu 0.020 0.500 0.894 (multiplicity 4)
4 Cu 0.137 0.500 0.556 (multiplicity 4)
5 Rh 0.217 0.500 0.321 (multiplicity 4)